ZrRu2W after structural relaxation, computed with PBE.

Lattice parameters (Å, degrees): 6.9504 4.6385 3.0380 90.05 64.01 127.28
With the nearest neighbours (Å) after each atom.
Atoms (fractional coordinates):
W 0.0000 0.5000 0.5000  8 Ru 2.77, 2 W 3.04
Zr 0.5000 0.5000 0.0000  8 Ru 2.77, 2 Zr 3.04
Ru 0.0000 0.0000 0.0000  4 W 2.77, 4 Zr 2.77, 2 Ru 3.04
Ru 0.5000 0.0000 0.5000  4 Zr 2.77, 4 W 2.77, 2 Ru 3.04

Properties
Spin magnetization in Bohr magnetons per cell: 0.00
Energy relative to the elements in eV per formula unit: -0.5